1.
## LiGaPdPb (GGA-PBE)

Data for a relaxed structure of LiGaPdPb.

Results
* V: 74 Å³ per cell
* symmetry: F-43m (216)
* energy relative to the lowest polymorph listed for this composition: 79 meV per atom

Structure (POSCAR):
```
LiGaPdPb
1.0
-3.012 -3.571 0.607
-3.718 0.513 2.847
-4.340 0.246 -1.815
Pd Ga Pb Li
1 1 1 1
Cartesian
0.000 0.000 0.000
-2.768 -0.703 0.410
-5.535 -1.406 0.820
-8.303 -2.109 1.230
```

2.
## Er3FeCo6Ni2 (GGA-PBE)

Data for a relaxed structure of Er3FeCo6Ni2.

Results
* energy of formation: -23 kJ per mole of atoms
* V: 171 Å³ per cell
* symmetry: R-3m (166)
* M_tot: 9.8 μB/cell

Structure (POSCAR):
```
Er3FeCo6Ni2
1.0
2.483 1.433 8.006
-2.483 1.433 8.006
0.000 -2.867 8.006
Co Er Ni Fe
6 3 2 1
Cartesian
1.254 -0.724 9.986
0.000 -1.448 14.030
1.254 0.724 14.031
-1.254 -0.724 9.986
-1.254 0.724 14.031
0.000 1.448 9.986
0.000 0.000 3.341
0.000 0.000 20.676
0.000 0.000 0.000
0.000 0.000 15.999
0.000 0.000 8.018
0.000 0.000 12.008
```